Ca2LaAl | GGA-PBE | relaxed

Unit cell a=5.304 b=4.906 c=4.906 alpha=90.00 beta=90.00 gamma=90.00
Element x y z (fractional)
Al (0.500, 0.000, 0.500)
Ca (0.000, 0.500, 0.500)
La (0.500, 0.500, 0.000)
Ca (0.000, 0.000, 0.000)

SG	No. 123
ρ	3.201	g/cm3
calculated formation energy	-84	meV/atom
DFT total energy	-3.253	eV/atom